(1)
DFT (PBE) results for an optimized crystal structure of Pm4InGaO.

abc: 8.986 8.986 6.707
angles: 90.00 90.00 136.30
Positions (direct):
Pm: 0.000 0.500 0.000
Pm: 0.000 0.500 0.500
Pm: 0.063 0.937 0.750
Pm: 0.418 0.582 0.750
Pm: 0.500 0.000 0.000
Pm: 0.500 0.000 0.500
Pm: 0.582 0.418 0.250
Pm: 0.937 0.063 0.250
In: 0.390 0.610 0.250
In: 0.610 0.390 0.750
Ga: 0.118 0.882 0.250
Ga: 0.882 0.118 0.750
O: 0.266 0.734 0.750
O: 0.734 0.266 0.250

- size of the total moment (μB/f.u.) = 0.0
- energy relative to the elements, uncorrected (meV/atom) = -1080.4

(2)
DFT (PBE) results for an optimized crystal structure of InGa2PtO6.

abc: 6.824 6.824 5.502
angles: 97.97 97.97 87.59
Positions (direct):
In: 0.094 0.906 0.750
In: 0.906 0.094 0.250
Ga: 0.226 0.402 0.711
Ga: 0.402 0.226 0.211
Ga: 0.598 0.774 0.789
Ga: 0.774 0.598 0.289
Pt: 0.273 0.727 0.250
Pt: 0.727 0.273 0.750
O: 0.026 0.208 0.633
O: 0.144 0.629 0.899
O: 0.208 0.026 0.133
O: 0.284 0.439 0.395
O: 0.371 0.856 0.601
O: 0.439 0.284 0.895
O: 0.561 0.716 0.105
O: 0.629 0.144 0.399
O: 0.716 0.561 0.605
O: 0.792 0.974 0.867
O: 0.856 0.371 0.101
O: 0.974 0.792 0.367

- size of the total moment (μB/f.u.) = 1.0
- energy relative to the elements, uncorrected (meV/atom) = -1292.7